Record 1
{
  "formula": "Rb2GaF6",
  "functional": "PBE",
  "state": "optimized geometry",
  "spacegroup": "No. 186",
  "e_form_raw_kj_per_mol_atoms": -236.2,
  "polymorph_energy_mev_per_atom": 0.0,
  "lattice_angstrom": [[6.127, 0.000, 0.000], [-3.064, 5.306, 0.000], [0.000, 0.000, 9.887]],
  "species": ["Rb", "Rb", "Rb", "Rb", "Ga", "Ga", "F", "F", "F", "F", "F", "F", "F", "F", "F", "F", "F", "F"],
  "frac_coords": [[0.000, 0.000, 0.596], [0.000, 0.000, 0.096], [0.333, 0.667, 0.872], [0.667, 0.333, 0.372], [0.333, 0.667, 0.261], [0.667, 0.333, 0.761], [0.479, 0.957, 0.144], [0.521, 0.479, 0.644], [0.957, 0.479, 0.644], [0.043, 0.521, 0.144], [0.479, 0.521, 0.144], [0.521, 0.043, 0.644], [0.819, 0.638, 0.863], [0.181, 0.819, 0.363], [0.638, 0.819, 0.363], [0.362, 0.181, 0.863], [0.819, 0.181, 0.863], [0.181, 0.362, 0.363]]
}

***

Record 2
{
  "formula": "Rb2GaF4",
  "functional": "PBE",
  "state": "optimized geometry",
  "spacegroup": "No. 139",
  "e_form_raw_kj_per_mol_atoms": -238.8,
  "polymorph_energy_mev_per_atom": 0.0,
  "lattice_angstrom": [[4.331, 0.000, 0.000], [0.000, 4.331, 0.000], [2.165, 2.165, 7.090]],
  "species": ["Ga", "Rb", "Rb", "F", "F", "F", "F"],
  "frac_coords": [[0.000, 0.000, 0.000], [0.353, 0.353, 0.294], [0.647, 0.647, 0.706], [0.153, 0.153, 0.694], [0.847, 0.847, 0.306], [0.000, 0.500, 0.000], [0.500, 0.000, 0.000]]
}

***

no.,spin magnetization (μB per formula unit),total energy (eV per formula unit)
1,1.1,-38.225
2,0.0,-29.775